# 1
VASP calculation (PBE) on an optimized crystal structure of KLiNpTe3.

abc: 7.9267 7.9267 11.6369
angles: 90.00 90.00 147.02
With the nearest neighbours (Å) after each atom.
Atoms (fractional coordinates):
K  0.2455  0.7545  0.7500  8 Te 3.58-3.90, 2 Li 3.98
K  0.7545  0.2455  0.2500  8 Te 3.58-3.90, 2 Li 3.98
Li  0.0386  0.9614  0.2500  4 Te 2.72
Li  0.9614  0.0386  0.7500  4 Te 2.72
Np  0.5000  0.5000  0.0000  6 Te 3.06
Np  0.5000  0.5000  0.5000  6 Te 3.06
Te  0.1313  0.8687  0.0499  1 Li 2.72
Te  0.1313  0.8687  0.4501  1 Li 2.72
Te  0.4375  0.5625  0.2500  2 Li 2.72
Te  0.5625  0.4375  0.7500  2 Li 2.72
Te  0.8687  0.1313  0.5499  1 Li 2.72
Te  0.8687  0.1313  0.9501  1 Li 2.72

Summary:
Symmetry ... Cmcm (63)

# 2
VASP calculation (PBE) on an optimized crystal structure of Nd2Ga8Pt.

abc: 4.4015 4.4015 11.3557
angles: 90.00 90.00 90.00
With the nearest neighbours (Å) after each atom.
Atoms (fractional coordinates):
Nd  0.0000  0.0000  0.1920  12 Ga 3.05-3.11
Nd  0.0000  0.0000  0.8080  12 Ga 3.05-3.11
Ga  0.0000  0.5000  0.0000  4 Nd 3.10, 8 Ga 3.10-3.11
Ga  0.0000  0.5000  0.3776  2 Pt 2.60, 1 Ga 2.78
Ga  0.0000  0.5000  0.6224  2 Pt 2.60, 1 Ga 2.78
Ga  0.5000  0.0000  0.0000  4 Nd 3.10, 8 Ga 3.10-3.11
Ga  0.5000  0.0000  0.3776  2 Pt 2.60, 1 Ga 2.78
Ga  0.5000  0.0000  0.6224  2 Pt 2.60, 1 Ga 2.78
Ga  0.5000  0.5000  0.1922  8 Ga 3.05-3.10, 4 Nd 3.11
Ga  0.5000  0.5000  0.8078  8 Ga 3.05-3.10, 4 Nd 3.11
Pt  0.0000  0.0000  0.5000  8 Ga 2.60

Summary:
Symmetry ... P4/mmm (123)

Computed values of total moment (unit: μB per formula unit) for the preceding records, in sequence: 3.00; 0.01.
Computed values of raw total energy (unit: eV per formula unit) for the preceding records, in sequence: -30.57; -45.94.